Computed, not measured: crystalline Cs2WCl2F4 at its relaxed geometry at the PBE with a Hubbard U level of DFT.

Computed properties:
The calculated density comes out at 4.20 Mg/m³. The calculation puts the magnetization at 2.0 Bohr magnetons per cell. Its energy is -4.686 eV/atom. The space-group type is C2/m (12).

```
Cs2WCl2F4
1.0
-2.299 5.054 0.087
-6.334 -3.299 1.090
-2.756 -1.763 6.441
Cl F Cs W
2 4 2 1
direct
0.340 0.177 0.177
0.660 0.823 0.823
0.268 0.172 0.736
0.732 0.828 0.264
0.732 0.264 0.828
0.268 0.736 0.172
0.852 0.355 0.355
0.148 0.645 0.645
0.500 0.000 0.000
```